DFT (PBE) results for Rb2TlAuI after structural relaxation.

Geometry as POSCAR:
```
Rb2TlAuI
1.0
-4.579 2.324 -4.117
-4.353 0.162 4.934
1.585 5.294 1.225
Tl Au Rb I
1 1 2 1
direct
0.000 0.000 0.500
0.000 0.000 0.000
0.000 0.500 0.000
0.500 0.000 0.000
0.500 0.500 0.500
```

Output
**Total magnetization**: 0.00 μB/f.u.
**Crystal system**: tetragonal
**Formation energy (no corrections)**: -48.5 kJ per mole of atoms
**Uncorrected energy**: -11.64 eV per cell

***

DFT (PBE) results for Pr4ZnCd3 after structural relaxation.

Geometry as POSCAR:
```
Pr4ZnCd3
1.0
3.816 0.000 0.000
0.000 3.816 0.000
0.000 0.000 15.555
Pr Cd Zn
4 3 1
direct
0.000 0.000 0.112
0.000 0.000 0.372
0.000 0.000 0.628
0.000 0.000 0.888
0.500 0.500 0.243
0.500 0.500 0.757
0.500 0.500 0.500
0.500 0.500 0.000
```

Output
**Total magnetization**: 0.20 μB/f.u.
**Crystal system**: tetragonal
**Uncorrected energy**: -25.64 eV per cell
**DFT formation energy**: -2.51 eV per formula unit

***

> Among the records above, which one has the lowest uncorrected energy?

Pr4ZnCd3